TaCo2P, relaxed, DFT PBE; space-group type = No. 25; energy of formation from the pure elements = -0.18 eV per atom; theoretical density = 10.8 g/cm3
1.0
3.023 0.000 0.000
0.000 2.954 0.000
0.000 0.000 5.674
P Ta Co
1 1 2
Direct
0.000 0.000 0.434
0.500 0.500 0.766
0.000 0.000 0.018
0.500 0.500 0.282